Entry 1:
DFT (GGA-PBE) results for a relaxed structure of OsPbF2.

Lattice parameters (Å, degrees): 7.1403 7.1403 5.7123 51.32 51.32 90.00
Fractional coordinates of all 8 atoms:
1 Pb 0.0000 0.0000 0.0000
2 Pb 0.7500 0.2500 0.5000
3 Os 0.5000 0.5000 0.0000
4 Os 0.2500 0.7500 0.5000
5 F 0.5324 0.1250 0.2500
6 F 0.2176 0.6250 0.2500
7 F 0.3750 0.4676 0.7500
8 F 0.8750 0.7824 0.7500

ΔE to the lowest computed polymorph: 418 meV/atom
total magnetic moment: 0.00 μB/f.u.
VASP energy: -19.539 eV per formula unit



Entry 2:
DFT (GGA-PBE) results for a relaxed structure of Os3PbF.

Lattice parameters (Å, degrees): 4.3450 4.3450 4.3450 90.00 90.00 90.00
Fractional coordinates of all 5 atoms:
1 Pb 0.5000 0.5000 0.5000
2 Os 0.0000 0.5000 0.0000
3 Os 0.0000 0.0000 0.5000
4 Os 0.5000 0.0000 0.0000
5 F 0.0000 0.0000 0.0000

ΔE to the lowest computed polymorph: 0 meV/atom
total magnetic moment: 0.02 μB/f.u.
VASP energy: -30.483 eV per formula unit



Entry 3:
DFT (GGA-PBE) results for a relaxed structure of OsPb3F.

Lattice parameters (Å, degrees): 4.9045 4.9045 4.9045 90.00 90.00 90.00
Fractional coordinates of all 5 atoms:
1 Pb 0.0000 0.5000 0.0000
2 Pb 0.0000 0.0000 0.5000
3 Pb 0.5000 0.0000 0.0000
4 Os 0.5000 0.5000 0.5000
5 F 0.0000 0.0000 0.0000

ΔE to the lowest computed polymorph: 440 meV/atom
total magnetic moment: 0.00 μB/f.u.
VASP energy: -22.108 eV per formula unit



Entry 4:
DFT (GGA-PBE) results for a relaxed structure of OsPb2F.

Lattice parameters (Å, degrees): 5.8510 5.8510 7.6013 67.36 67.36 90.00
Fractional coordinates of all 8 atoms:
1 Pb 0.6201 0.1250 0.2500
2 Pb 0.1299 0.6250 0.2500
3 Pb 0.3750 0.3799 0.7500
4 Pb 0.8750 0.8701 0.7500
5 Os 0.0000 0.0000 0.0000
6 Os 0.7500 0.2500 0.5000
7 F 0.5000 0.5000 0.0000
8 F 0.2500 0.7500 0.5000

ΔE to the lowest computed polymorph: 84 meV/atom
total magnetic moment: 0.00 μB/f.u.
VASP energy: -19.867 eV per formula unit



Entry 5:
DFT (GGA-PBE) results for a relaxed structure of OsPbF2.

Lattice parameters (Å, degrees): 7.1394 7.1394 7.1394 29.06 29.06 29.06
Fractional coordinates of all 4 atoms:
1 Pb 0.0000 0.0000 0.0000
2 Os 0.5000 0.5000 0.5000
3 F 0.8673 0.8673 0.8673
4 F 0.1327 0.1327 0.1327

ΔE to the lowest computed polymorph: 614 meV/atom
total magnetic moment: 0.67 μB/f.u.
VASP energy: -18.753 eV per formula unit



Entry 6:
DFT (GGA-PBE) results for a relaxed structure of OsPb3F.

Lattice parameters (Å, degrees): 5.2937 5.2937 5.2937 90.00 90.00 90.00
Fractional coordinates of all 5 atoms:
1 Pb 0.0000 0.5000 0.0000
2 Pb 0.0000 0.0000 0.5000
3 Pb 0.5000 0.0000 0.0000
4 Os 0.0000 0.0000 0.0000
5 F 0.5000 0.5000 0.5000

ΔE to the lowest computed polymorph: 0 meV/atom
total magnetic moment: 0.00 μB/f.u.
VASP energy: -24.309 eV per formula unit



Entry 7:
DFT (GGA-PBE) results for a relaxed structure of OsPbF2.

Lattice parameters (Å, degrees): 8.4762 8.4762 8.4762 20.39 20.39 20.39
Fractional coordinates of all 4 atoms:
1 Pb 0.5000 0.5000 0.5000
2 Os 0.0000 0.0000 0.0000
3 F 0.9192 0.9192 0.9192
4 F 0.0808 0.0808 0.0808

ΔE to the lowest computed polymorph: 0 meV/atom
total magnetic moment: 1.26 μB/f.u.
VASP energy: -21.211 eV per formula unit



Entry 8:
DFT (GGA-PBE) results for a relaxed structure of Os2PbF.

Lattice parameters (Å, degrees): 4.5162 4.5162 4.5162 60.00 60.00 60.00
Fractional coordinates of all 4 atoms:
1 Pb 0.5000 0.5000 0.5000
2 Os 0.2500 0.2500 0.2500
3 Os 0.7500 0.7500 0.7500
4 F 0.0000 0.0000 0.0000

ΔE to the lowest computed polymorph: 818 meV/atom
total magnetic moment: 2.28 μB/f.u.
VASP energy: -23.516 eV per formula unit



Let's list energy relative to the elements, uncorrected in order: -214.6; 1757.1; 423.6; 162.8; -18.2; -16.6; -632.4; 1130.8 meV/atom.